No. 1
TbDyGa2 PBE optimized geometry; calculated total energy = -0.1636 Ha/atom
1.0
4.050 0.000 0.000
0.000 2.182 5.458
0.000 -2.182 5.458
Tb Dy Ga
1 1 2
direct
0.000 0.000 0.000
0.500 0.721 0.721
0.000 0.284 0.284
0.500 0.437 0.437

=====

No. 2
TbDyGa4 PBE optimized geometry; calculated total energy = -0.1518 Ha/atom
1.0
2.054 -9.393 0.000
2.054 9.393 0.000
0.000 0.000 6.473
Tb Dy Ga
2 2 8
direct
0.089 0.911 0.750
0.911 0.089 0.250
0.235 0.765 0.250
0.765 0.235 0.750
0.070 0.930 0.250
0.355 0.645 0.544
0.355 0.645 0.956
0.500 0.500 0.000
0.500 0.500 0.500
0.645 0.355 0.044
0.645 0.355 0.456
0.930 0.070 0.750

=====

No. 3
TbDyGa5 PBE optimized geometry; calculated total energy = -0.1439 Ha/atom
1.0
4.221 0.000 0.000
0.000 4.221 0.000
0.000 0.000 8.375
Tb Dy Ga
1 1 5
direct
0.000 0.000 0.000
0.000 0.000 0.500
0.000 0.500 0.254
0.000 0.500 0.746
0.500 0.000 0.254
0.500 0.000 0.746
0.500 0.500 0.000

=====

No. 4
Dy4Ga12Tc PBE optimized geometry; calculated total energy = -0.1606 Ha/atom
1.0
-4.314 4.314 4.314
4.314 -4.314 4.314
4.314 4.314 -4.314
Dy Ga Tc
4 12 1
direct
0.000 0.000 0.500
0.000 0.500 0.000
0.500 0.000 0.000
0.500 0.500 0.500
0.000 0.291 0.291
0.000 0.709 0.709
0.250 0.500 0.750
0.250 0.750 0.500
0.291 0.000 0.291
0.291 0.291 0.000
0.500 0.250 0.750
0.500 0.750 0.250
0.709 0.000 0.709
0.709 0.709 0.000
0.750 0.250 0.500
0.750 0.500 0.250
0.000 0.000 0.000

=====

No. 5
DyGaTe PBE optimized geometry; relative energy among the computed polymorphs = 0 meV/atom
1.0
0.000 3.555 3.555
3.555 0.000 3.555
3.555 3.555 0.000
Dy Ga Te
1 1 1
direct
0.000 0.000 0.000
0.500 0.500 0.500
0.250 0.250 0.250

=====

No. 6
DyGaTe PBE optimized geometry; relative energy among the computed polymorphs = 10 meV/atom
1.0
0.000 3.556 3.556
3.556 0.000 3.556
3.556 3.556 0.000
Dy Ga Te
1 1 1
direct
0.000 0.000 0.000
0.750 0.750 0.750
0.250 0.250 0.250

=====

No. 7
Dy5GaTe4 PBE optimized geometry; calculated total energy = -0.1863 Ha/atom
1.0
-4.853 4.853 3.054
4.853 -4.853 3.054
4.853 4.853 -3.054
Dy Ga Te
5 1 4
direct
0.000 0.000 0.000
0.223 0.596 0.819
0.404 0.223 0.626
0.596 0.777 0.374
0.777 0.404 0.181
0.500 0.500 0.000
0.092 0.305 0.397
0.305 0.908 0.213
0.695 0.092 0.787
0.908 0.695 0.603

=====

No. 8
DyTlGaTe3 PBE optimized geometry; calculated total energy = -0.1446 Ha/atom
1.0
2.349 -7.462 0.000
2.349 7.462 0.000
0.000 0.000 11.561
Dy Tl Ga Te
2 2 2 6
direct
0.000 0.000 0.000
0.000 0.000 0.500
0.245 0.755 0.750
0.755 0.245 0.250
0.476 0.524 0.250
0.524 0.476 0.750
0.076 0.924 0.250
0.366 0.634 0.058
0.366 0.634 0.442
0.634 0.366 0.558
0.634 0.366 0.942
0.924 0.076 0.750